Record 1
VASP calculation (PBE) on a relaxed structure of GdBeGa.

```
3
Lattice="0.0000 3.1553 3.1553 3.1553 0.0000 3.1553 3.1553 3.1553 0.0000" Properties=species:S:1:pos:R:3 pbc="T T T"
Be 1.5777 1.5777 1.5777
Ga 0.0000 0.0000 0.0000
Gd 4.7330 4.7330 4.7330
```

Output
ΔE to the lowest computed polymorph: 212 meV/atom
Total magnetic moment: 0.000 μB per cell
VASP energy: -11.63 eV per cell

---

Record 2
VASP calculation (PBE) on a relaxed structure of NbCuSnAu.

```
4
Lattice="0.0000 3.3000 3.3000 3.3000 0.0000 3.3000 3.3000 3.3000 0.0000" Properties=species:S:1:pos:R:3 pbc="T T T"
Au 3.3000 3.3000 3.3000
Cu 4.9501 4.9501 4.9501
Nb 1.6500 1.6500 1.6500
Sn 0.0000 0.0000 0.0000
```

Output
ΔE to the lowest computed polymorph: 0 meV/atom
Total magnetic moment: 1.134 μB per cell
VASP energy: -20.47 eV per cell

---

Record 3
VASP calculation (PBE) on a relaxed structure of BaSmAg2P2.

```
6
Lattice="-2.6000 -2.9620 -1.8842 3.3902 1.6493 -2.2068 5.0135 -6.3032 2.9909" Properties=species:S:1:pos:R:3 pbc="T T T"
Ag 1.5445 -0.0777 -2.0092
Ag 1.7589 -4.3948 -0.5825
Ba 3.7622 -4.7300 2.2444
P -0.4546 -1.6119 -1.9030
P 3.7428 -2.8415 -0.6977
Sm 1.2535 -1.5760 0.7478
```

Output
Total magnetic moment: 0.097 μB per cell
VASP energy: -27.43 eV per cell

---

Record 4
VASP calculation (PBE) on a relaxed structure of RbFe2P2Pd.

```
6
Lattice="3.6246 0.0000 0.0000 0.0000 3.6246 0.0000 0.0000 0.0000 8.3303" Properties=species:S:1:pos:R:3 pbc="T T T"
Fe 1.8123 0.0000 8.1026
Fe 0.0000 1.8123 8.1026
P 1.8123 1.8123 1.0712
P 0.0000 0.0000 6.7768
Pd 1.8123 1.8123 6.0706
Rb 0.0000 0.0000 3.1974
```

Output
Total magnetic moment: 1.058 μB per cell
VASP energy: -35.76 eV per cell

---

Record 5
VASP calculation (PBE) on a relaxed structure of MgScNbOs.

```
4
Lattice="0.0000 3.2717 3.2717 3.2717 0.0000 3.2717 3.2717 3.2717 0.0000" Properties=species:S:1:pos:R:3 pbc="T T T"
Mg 4.9076 4.9076 4.9076
Nb 3.2718 3.2718 3.2718
Os 1.6359 1.6359 1.6359
Sc 0.0000 0.0000 0.0000
```

Output
ΔE to the lowest computed polymorph: 0 meV/atom
Total magnetic moment: 0.002 μB per cell
VASP energy: -29.77 eV per cell

---

Record 6
VASP calculation (PBE) on a relaxed structure of PmIrOs.

```
3
Lattice="0.0000 3.2204 3.2204 3.2204 0.0000 3.2204 3.2204 3.2204 0.0000" Properties=species:S:1:pos:R:3 pbc="T T T"
Ir 1.6102 1.6102 1.6102
Os 4.8307 4.8307 4.8307
Pm 0.0000 0.0000 0.0000
```

Output
Total magnetic moment: 0.672 μB per cell
VASP energy: -21.08 eV per cell
E_form: 1.2497 eV per atom